A plane-wave DFT calculation with PBE with a Hubbard U was carried out for crystalline LiFeCoO4 at its relaxed geometry.

Cell lengths 5.877, 5.877, 8.013 Å; angles 90.00, 90.00, 90.00 degrees
Each line ends with the local moment (μB).
Sites, in units of the cell vectors:
O  0.268  0.481  0.017  0.07
O  0.519  0.268  0.767  0.07
O  0.481  0.268  0.233  0.07
O  0.732  0.481  0.983  0.07
O  0.025  0.729  0.239  0.12
O  0.732  0.519  0.517  0.07
O  0.481  0.732  0.267  0.07
O  0.271  0.975  0.511  0.12
O  0.025  0.271  0.261  0.12
O  0.271  0.025  0.989  0.12
O  0.729  0.025  0.011  0.12
O  0.519  0.732  0.733  0.07
O  0.729  0.975  0.489  0.12
O  0.975  0.729  0.761  0.12
O  0.268  0.519  0.483  0.07
O  0.975  0.271  0.739  0.12
Fe  0.748  0.252  0.375  4.20
Fe  0.748  0.748  0.125  4.20
Fe  0.252  0.748  0.875  4.20
Fe  0.252  0.252  0.625  4.20
Li  0.762  0.000  0.750  0.01
Li  0.000  0.762  0.500  0.01
Li  0.000  0.238  0.000  0.01
Li  0.238  0.000  0.250  0.01
Co  0.243  0.500  0.250  1.26
Co  0.500  0.243  0.000  1.26
Co  0.500  0.757  0.500  1.26
Co  0.757  0.500  0.750  1.26

Properties
**M_tot**: 24.0 μB/cell
**Energy relative to the lowest polymorph listed for this composition**: 50.7 meV/atom
**Electronic total energy**: -164.890 eV per cell
**SG**: No. 95